[1]
DFT (PBE) results for crystalline NaGa2Pb2 at its relaxed geometry.

Summary:
Volume: 27.2 A^3/atom
Total magnetization: 0.000 μB/f.u.
Energy above the lowest structure with this stoichiometry: 45.7 meV/atom

Cell and atoms, written as CIF:
```
data_NaGa2Pb2
_chemical_formula_sum 'Na2 Ga4 Pb4'
_cell_length_a 8.616
_cell_length_b 8.616
_cell_length_c 3.664
_cell_angle_alpha 90.00
_cell_angle_beta 90.00
_cell_angle_gamma 90.00
_symmetry_space_group_name_H-M 'P 4/m b m'
_symmetry_Int_Tables_number 127
_symmetry_space_group_name_Hall '-P 4 2ab'
loop_
_atom_site_label
_atom_site_fract_x
_atom_site_fract_y
_atom_site_fract_z
Na1 0.000 0.000 0.000
Ga1 0.149 0.351 0.500
Pb1 0.145 0.645 0.000
```

***

[2]
DFT (PBE) results for crystalline Na3Ga2Pb4 at its relaxed geometry.

Summary:
Volume: 27.8 A^3/atom
Total magnetization: 0.000 μB/f.u.
Energy above the lowest structure with this stoichiometry: 0.0 meV/atom

Cell and atoms, written as CIF:
```
data_Na3Ga2Pb4
_chemical_formula_sum 'Na6 Ga4 Pb8'
_cell_length_a 10.238
_cell_length_b 5.348
_cell_length_c 9.452
_cell_angle_alpha 90.00
_cell_angle_beta 105.11
_cell_angle_gamma 90.00
_symmetry_space_group_name_H-M 'C 1 2/m 1'
_symmetry_Int_Tables_number 12
loop_
_symmetry_equiv_pos_as_xyz
'x,y,z'
'-x,-y,-z'
'-x,y,-z'
'x,-y,z'
'x+1/2,y+1/2,z'
'-x+1/2,-y+1/2,-z'
'-x+1/2,y+1/2,-z'
'x+1/2,-y+1/2,z'
loop_
_atom_site_label
_atom_site_fract_x
_atom_site_fract_y
_atom_site_fract_z
Na1 0.000 0.000 0.000
Na2 0.137 0.500 0.709
Ga1 0.200 0.500 0.396
Pb1 0.050 0.000 0.356
Pb2 0.190 0.500 0.080
```

***

[3]
DFT (PBE) results for crystalline Na2GaPb at its relaxed geometry.

Summary:
Volume: 26.9 A^3/atom
Total magnetization: 0.000 μB/f.u.
Energy above the lowest structure with this stoichiometry: 25.5 meV/atom

Cell and atoms, written as CIF:
```
data_Na2GaPb
_chemical_formula_sum 'Na8 Ga4 Pb4'
_cell_length_a 8.222
_cell_length_b 6.507
_cell_length_c 10.251
_cell_angle_alpha 90.00
_cell_angle_beta 128.26
_cell_angle_gamma 90.00
_symmetry_space_group_name_H-M 'P 1 21/c 1'
_symmetry_Int_Tables_number 14
loop_
_symmetry_equiv_pos_as_xyz
'x,y,z'
'-x,-y,-z'
'-x,y+1/2,-z+1/2'
'x,-y+1/2,z+1/2'
loop_
_atom_site_label
_atom_site_fract_x
_atom_site_fract_y
_atom_site_fract_z
Na1 0.059 0.250 0.029
Na2 0.229 0.521 0.364
Ga1 0.293 0.027 0.397
Pb1 0.445 0.744 0.724
```

***

[4]
DFT (PBE) results for crystalline Na3Ga8Pb at its relaxed geometry.

Summary:
Volume: 21.6 A^3/atom
Uncorrected energy: -2.744 eV/atom
Total magnetization: 0.000 μB/f.u.

Cell and atoms, written as CIF:
```
data_Na3Ga8Pb
_chemical_formula_sum 'Na9 Ga24 Pb3'
_cell_length_a 5.6815
_cell_length_b 5.6815
_cell_length_c 27.7541
_cell_angle_alpha 90.00
_cell_angle_beta 90.00
_cell_angle_gamma 120.00
_symmetry_space_group_name_H-M 'R 3 m'
_symmetry_Int_Tables_number 160
_symmetry_space_group_name_Hall 'R 3 -2"'
loop_
_atom_site_label
_atom_site_fract_x
_atom_site_fract_y
_atom_site_fract_z
Na1 0.0000 0.0000 0.0000
Na2 0.0000 0.0000 0.1227
Na3 0.0000 0.0000 0.4993
Ga1 0.0000 0.0000 0.3127
Ga2 0.0000 0.0000 0.8098
Ga3 0.0053 0.5027 0.0631
Ga4 0.1677 0.3354 0.8928
Pb1 0.0000 0.0000 0.6273
```